No. 1
This record from Alexandria describes crystalline Ge3BrCl5 at its relaxed geometry. The functional is PBE.

Properties
Density of states at the Fermi level   0.00 states/eV/f.u.
Total magnetic moment   0.000 μB/f.u.
ΔE_f (raw)   -6.45 eV/f.u.

CIF file:
```
data_Ge3BrCl5
_cell_length_a 12.327
_cell_length_b 9.008
_cell_length_c 10.539
_cell_angle_alpha 90.00
_cell_angle_beta 116.95
_cell_angle_gamma 90.00
_space_group_name_H-M_alt 'C 1 2/m 1'
_space_group_IT_number 12
loop_
_space_group_symop_operation_xyz
'x,y,z'
'-x,-y,-z'
'-x,y,-z'
'x,-y,z'
'x+1/2,y+1/2,z'
'-x+1/2,-y+1/2,-z'
'-x+1/2,y+1/2,-z'
'x+1/2,-y+1/2,z'
loop_
_atom_site_label
_atom_site_fract_x
_atom_site_fract_y
_atom_site_fract_z
Ge1 0.000 0.000 0.000
Ge2 0.000 0.000 0.500
Ge3 0.156 0.500 0.180
Ge4 0.174 0.500 0.678
Br1 0.098 0.000 0.300
Cl1 0.000 0.297 0.000
Cl2 0.068 0.500 0.336
Cl3 0.166 0.200 0.661
Cl4 0.239 0.000 0.068
```



No. 2
This record from Alexandria describes crystalline Ge2BrCl3 at its relaxed geometry. The functional is PBE.

Properties
Density of states at the Fermi level   0.00 states/eV/f.u.
Total magnetic moment   0.000 μB/f.u.
ΔE_f (raw)   -4.17 eV/f.u.

CIF file:
```
data_Ge2BrCl3
_cell_length_a 19.828
_cell_length_b 5.685
_cell_length_c 7.736
_cell_angle_alpha 90.00
_cell_angle_beta 95.31
_cell_angle_gamma 90.00
_space_group_name_H-M_alt 'C 1 2/m 1'
_space_group_IT_number 12
loop_
_space_group_symop_operation_xyz
'x,y,z'
'-x,-y,-z'
'-x,y,-z'
'x,-y,z'
'x+1/2,y+1/2,z'
'-x+1/2,-y+1/2,-z'
'-x+1/2,y+1/2,-z'
'x+1/2,-y+1/2,z'
loop_
_atom_site_label
_atom_site_fract_x
_atom_site_fract_y
_atom_site_fract_z
Ge1 0.097 0.000 0.049
Ge2 0.192 0.500 0.340
Br1 0.116 0.500 0.040
Cl1 0.012 0.000 0.230
Cl2 0.110 0.500 0.516
Cl3 0.192 0.000 0.298
```